An optimized crystal structure of ErTlCl4, computed with PBE.

extended XYZ file:
```
12
Lattice="6.960 0.000 0.000 0.000 8.062 0.000 -0.328 0.000 7.003" Properties=species:S:1:pos:R:3 pbc="T T T"
Er -0.082 1.162 1.751
Er -0.246 6.901 5.252
Tl 3.235 2.760 5.252
Tl 3.398 5.303 1.751
Cl 1.156 0.703 6.658
Cl 1.320 7.360 3.157
Cl 1.475 2.935 2.676
Cl 1.312 5.128 6.177
Cl 5.321 2.935 0.826
Cl 5.158 5.128 4.327
Cl 5.313 0.703 3.846
Cl 5.477 7.360 0.344
```

Properties
**DFT total energy**: -4.255 eV per atom
**M_tot**: 0.00 μB/atom